The following is a DFT calculation (GGA-PBEsol) of BeBi2TeW after structural relaxation.

Cell lengths 5.392, 5.392, 5.140 Å; angles 90.00, 90.00, 90.00 degrees
Positions (direct):
Be: 0.000 0.000 0.000
Bi: 0.000 0.500 0.500
Bi: 0.500 0.000 0.500
Te: 0.500 0.500 0.000
W: 0.500 0.500 0.500

space-group type: No. 123
crystal system: tetragonal
energy above the most stable polymorph in this dataset: 94 meV/atom


The following is a DFT calculation (GGA-PBEsol) of BeBi2TeW after structural relaxation.

Cell lengths 5.087, 5.087, 4.464 Å; angles 90.00, 90.00, 90.00 degrees
Positions (direct):
Be: 0.000 0.000 0.000
Bi: 0.000 0.500 0.000
Bi: 0.500 0.000 0.000
Te: 0.500 0.500 0.500
W: 0.000 0.000 0.500

space-group type: No. 123
crystal system: tetragonal
energy above the most stable polymorph in this dataset: 0 meV/atom


The following is a DFT calculation (GGA-PBEsol) of BeTlBi2 after structural relaxation.

Cell lengths 5.939, 5.939, 13.918 Å; angles 90.00, 90.00, 90.00 degrees
Positions (direct):
Be: 0.000 0.000 0.000
Be: 0.000 0.500 0.250
Be: 0.500 0.000 0.750
Be: 0.500 0.500 0.500
Tl: 0.000 0.000 0.500
Tl: 0.000 0.500 0.750
Tl: 0.500 0.000 0.250
Tl: 0.500 0.500 0.000
Bi: 0.168 0.250 0.125
Bi: 0.250 0.668 0.375
Bi: 0.250 0.832 0.875
Bi: 0.332 0.250 0.625
Bi: 0.668 0.750 0.625
Bi: 0.750 0.168 0.875
Bi: 0.750 0.332 0.375
Bi: 0.832 0.750 0.125

space-group type: No. 122
formation energy: 0.345 eV/atom
crystal system: tetragonal


no.,total magnetic moment (Bohr magnetons per cell)
1,0.000
2,1.341
3,0.001